# CeHoEr2In4 | the Alexandria database | GGA-PBE | relaxed
data_CeHoEr2In4
_cell_length_a 5.3215
_cell_length_b 5.3215
_cell_length_c 26.2607
_cell_angle_alpha 90.00
_cell_angle_beta 90.00
_cell_angle_gamma 120.00
_space_group_name_H-M_alt 'R -3 m'
_space_group_IT_number 166
_space_group_name_Hall '-R 3 2"'
loop_
_atom_site_label
_atom_site_type_symbol
_atom_site_fract_x
_atom_site_fract_y
_atom_site_fract_z
Ce1 Ce 0.0000 0.0000 0.0000
Ho1 Ho 0.0000 0.0000 0.5000
Er1 Er 0.0000 0.0000 0.2495
In1 In 0.0000 0.0000 0.1264
In2 In 0.0000 0.0000 0.3767
# Total magnetization: 0.93 μB per formula unit
# E: -101.766 eV for the cell shown
# N(E_F): 1.131 states/eV/atom



# BaSn6Ru3 | the Alexandria database | GGA-PBE | relaxed
data_BaSn6Ru3
_cell_length_a 8.1836
_cell_length_b 26.4587
_cell_length_c 4.4888
_cell_angle_alpha 90.00
_cell_angle_beta 90.00
_cell_angle_gamma 90.00
_space_group_name_H-M_alt 'C m c m'
_space_group_IT_number 63
_space_group_name_Hall '-C 2c 2'
loop_
_atom_site_label
_atom_site_type_symbol
_atom_site_fract_x
_atom_site_fract_y
_atom_site_fract_z
Ba1 Ba 0.0000 0.0894 0.2500
Sn1 Sn 0.0000 0.2512 0.2500
Sn2 Sn 0.0000 0.3650 0.7500
Sn3 Sn 0.1924 0.1754 0.7500
Sn4 Sn 0.1926 0.4522 0.2500
Ru1 Ru 0.0000 0.4627 0.7500
Ru2 Ru 0.1880 0.2832 0.7500
# Total magnetization: 0.00 μB per formula unit
# E: -227.425 eV for the cell shown
# N(E_F): 0.457 states/eV/atom